Record 1
Material: TaReAu
Method: DFT, PBEsol
State: relaxed

Structure (CIF):
```
data_TaReAu
_chemical_formula_sum 'Ta4 Re4 Au4'
_symmetry_space_group_name_H-M 'F m m 2'
_symmetry_Int_Tables_number 42
_symmetry_space_group_name_Hall 'F 2 -2'
_cell_length_a 3.307
_cell_length_b 4.399
_cell_length_c 13.397
_cell_angle_alpha 90.00
_cell_angle_beta 90.00
_cell_angle_gamma 90.00
loop_
_atom_site_label
_atom_site_fract_x
_atom_site_fract_y
_atom_site_fract_z
Ta1 0.000 0.000 0.000
Re1 0.000 0.000 0.342
Au1 0.000 0.000 0.670
```

Values from the calculation:
Excess energy over the best structure of this formula in the dataset in kcal/mol of atoms: 0.00
Size of the total moment in μB per formula unit: 0.0
Density of states at the Fermi level in states/eV per cell: 10.044



Record 2
Material: TaReAu
Method: DFT, PBEsol
State: relaxed

Structure (CIF):
```
data_TaReAu
_chemical_formula_sum 'Ta2 Re2 Au2'
_symmetry_space_group_name_H-M 'I 4 m m'
_symmetry_Int_Tables_number 107
_symmetry_space_group_name_Hall 'I 4 -2'
_cell_length_a 2.737
_cell_length_b 2.737
_cell_length_c 12.924
_cell_angle_alpha 90.00
_cell_angle_beta 90.00
_cell_angle_gamma 90.00
loop_
_atom_site_label
_atom_site_fract_x
_atom_site_fract_y
_atom_site_fract_z
Ta1 0.000 0.000 0.000
Re1 0.000 0.000 0.667
Au1 0.000 0.000 0.332
```

Values from the calculation:
Excess energy over the best structure of this formula in the dataset in kcal/mol of atoms: 1.71
Size of the total moment in μB per formula unit: 0.0
Density of states at the Fermi level in states/eV per cell: 6.084



Record 3
Material: Ta2ReAu
Method: DFT, PBEsol
State: relaxed

Structure (CIF):
```
data_Ta2ReAu
_chemical_formula_sum 'Ta4 Re2 Au2'
_symmetry_space_group_name_H-M 'I m m 2'
_symmetry_Int_Tables_number 44
_cell_length_a 3.530
_cell_length_b 4.336
_cell_length_c 8.659
_cell_angle_alpha 90.00
_cell_angle_beta 90.00
_cell_angle_gamma 90.00
loop_
_symmetry_equiv_pos_as_xyz
'x,y,z'
'-x,-y,z'
'-x,y,z'
'x,-y,z'
'x+1/2,y+1/2,z+1/2'
'-x+1/2,-y+1/2,z+1/2'
'-x+1/2,y+1/2,z+1/2'
'x+1/2,-y+1/2,z+1/2'
loop_
_atom_site_label
_atom_site_fract_x
_atom_site_fract_y
_atom_site_fract_z
Ta1 0.000 0.000 0.000
Ta2 0.000 0.500 0.250
Re1 0.000 0.000 0.520
Au1 0.000 0.500 0.760
```

Values from the calculation:
Excess energy over the best structure of this formula in the dataset in kcal/mol of atoms: 0.00
Size of the total moment in μB per formula unit: 0.0
Density of states at the Fermi level in states/eV per cell: 5.653



Record 4
Material: ReTc2Au
Method: DFT, PBEsol
State: relaxed

Structure (CIF):
```
data_ReTc2Au
_chemical_formula_sum 'Re2 Tc4 Au2'
_symmetry_space_group_name_H-M 'C 1 2/m 1'
_symmetry_Int_Tables_number 12
_cell_length_a 9.144
_cell_length_b 2.774
_cell_length_c 4.763
_cell_angle_alpha 90.00
_cell_angle_beta 100.76
_cell_angle_gamma 90.00
loop_
_symmetry_equiv_pos_as_xyz
'x,y,z'
'-x,-y,-z'
'-x,y,-z'
'x,-y,z'
'x+1/2,y+1/2,z'
'-x+1/2,-y+1/2,-z'
'-x+1/2,y+1/2,-z'
'x+1/2,-y+1/2,z'
loop_
_atom_site_label
_atom_site_fract_x
_atom_site_fract_y
_atom_site_fract_z
Re1 0.000 0.000 0.000
Tc1 0.243 0.500 0.223
Au1 0.000 0.500 0.500
```

Values from the calculation:
Excess energy over the best structure of this formula in the dataset in kcal/mol of atoms: 0.00
Size of the total moment in μB per formula unit: 0.0
Density of states at the Fermi level in states/eV per cell: 6.447



Record 5
Material: ReTc2Au
Method: DFT, PBEsol
State: relaxed

Structure (CIF):
```
data_ReTc2Au
_chemical_formula_sum 'Re2 Tc4 Au2'
_symmetry_space_group_name_H-M 'I 4/m m m'
_symmetry_Int_Tables_number 139
_symmetry_space_group_name_Hall '-I 4 2'
_cell_length_a 3.907
_cell_length_b 3.907
_cell_length_c 7.657
_cell_angle_alpha 90.00
_cell_angle_beta 90.00
_cell_angle_gamma 90.00
loop_
_atom_site_label
_atom_site_fract_x
_atom_site_fract_y
_atom_site_fract_z
Re1 0.000 0.000 0.000
Tc1 0.000 0.500 0.250
Au1 0.000 0.000 0.500
```

Values from the calculation:
Excess energy over the best structure of this formula in the dataset in kcal/mol of atoms: 0.27
Size of the total moment in μB per formula unit: 0.0
Density of states at the Fermi level in states/eV per cell: 7.537



Record 6
Material: ReTeAu
Method: DFT, PBEsol
State: relaxed

Structure (CIF):
```
data_ReTeAu
_chemical_formula_sum 'Re4 Te4 Au4'
_symmetry_space_group_name_H-M 'F -4 3 m'
_symmetry_Int_Tables_number 216
_symmetry_space_group_name_Hall 'F -4 2 3'
_cell_length_a 6.219
_cell_length_b 6.219
_cell_length_c 6.219
_cell_angle_alpha 90.00
_cell_angle_beta 90.00
_cell_angle_gamma 90.00
loop_
_atom_site_label
_atom_site_fract_x
_atom_site_fract_y
_atom_site_fract_z
Re1 0.000 0.000 0.000
Te1 0.250 0.250 0.250
Au1 0.000 0.000 0.500
```

Values from the calculation:
Total energy in eV/atom: -5.8954
Size of the total moment in μB per formula unit: 0.0
Density of states at the Fermi level in states/eV per cell: 6.826



Record 7
Material: ReTeAu2
Method: DFT, PBEsol
State: relaxed

Structure (CIF):
```
data_ReTeAu2
_chemical_formula_sum 'Re1 Te1 Au2'
_symmetry_space_group_name_H-M 'P 4 m m'
_symmetry_Int_Tables_number 99
_cell_length_a 3.218
_cell_length_b 3.218
_cell_length_c 7.010
_cell_angle_alpha 90.00
_cell_angle_beta 90.00
_cell_angle_gamma 90.00
loop_
_symmetry_equiv_pos_as_xyz
'x,y,z'
'-y,x,z'
'-x,-y,z'
'y,-x,z'
'-x,y,z'
'y,x,z'
'x,-y,z'
'-y,-x,z'
loop_
_atom_site_label
_atom_site_fract_x
_atom_site_fract_y
_atom_site_fract_z
Re1 0.000 0.000 0.000
Te1 0.500 0.500 0.214
Au1 0.000 0.000 0.535
Au2 0.500 0.500 0.760
```

Values from the calculation:
Total energy in eV/atom: -5.7406
Size of the total moment in μB per formula unit: 0.0
Density of states at the Fermi level in states/eV per cell: 2.951



Record 8
Material: Re2TeAu
Method: DFT, PBEsol
State: relaxed

Structure (CIF):
```
data_Re2TeAu
_chemical_formula_sum 'Re4 Te2 Au2'
_symmetry_space_group_name_H-M 'C m m m'
_symmetry_Int_Tables_number 65
_symmetry_space_group_name_Hall '-C 2 2'
_cell_length_a 2.861
_cell_length_b 4.845
_cell_length_c 10.025
_cell_angle_alpha 90.00
_cell_angle_beta 90.00
_cell_angle_gamma 90.00
loop_
_atom_site_label
_atom_site_fract_x
_atom_site_fract_y
_atom_site_fract_z
Re1 0.000 0.000 0.239
Te1 0.000 0.500 0.500
Au1 0.000 0.500 0.000
```

Values from the calculation:
Total energy in eV/atom: -7.4183
Size of the total moment in μB per formula unit: 0.0
Density of states at the Fermi level in states/eV per cell: 7.669



Record 9
Material: ReTeAu2
Method: DFT, PBEsol
State: relaxed

Structure (CIF):
```
data_ReTeAu2
_chemical_formula_sum 'Re1 Te1 Au2'
_symmetry_space_group_name_H-M 'P 4/m m m'
_symmetry_Int_Tables_number 123
_symmetry_space_group_name_Hall '-P 4 2'
_cell_length_a 3.969
_cell_length_b 3.969
_cell_length_c 4.497
_cell_angle_alpha 90.00
_cell_angle_beta 90.00
_cell_angle_gamma 90.00
loop_
_atom_site_label
_atom_site_fract_x
_atom_site_fract_y
_atom_site_fract_z
Re1 0.000 0.000 0.000
Te1 0.500 0.500 0.000
Au1 0.000 0.500 0.500
```

Values from the calculation:
Total energy in eV/atom: -5.4227
Size of the total moment in μB per formula unit: 0.0
Density of states at the Fermi level in states/eV per cell: 2.560



Record 10
Material: Tl2ReAu
Method: DFT, PBEsol
State: relaxed

Structure (CIF):
```
data_Tl2ReAu
_chemical_formula_sum 'Tl2 Re1 Au1'
_symmetry_space_group_name_H-M 'P m m m'
_symmetry_Int_Tables_number 47
_cell_length_a 2.897
_cell_length_b 5.033
_cell_length_c 5.381
_cell_angle_alpha 90.00
_cell_angle_beta 90.00
_cell_angle_gamma 90.00
loop_
_symmetry_equiv_pos_as_xyz
'x,y,z'
'-x,-y,-z'
'-x,-y,z'
'x,y,-z'
'x,-y,-z'
'-x,y,z'
'-x,y,-z'
'x,-y,z'
loop_
_atom_site_label
_atom_site_fract_x
_atom_site_fract_y
_atom_site_fract_z
Tl1 0.000 0.000 0.000
Tl2 0.500 0.000 0.500
Re1 0.000 0.500 0.500
Au1 0.500 0.500 0.000
```

Values from the calculation:
Excess energy over the best structure of this formula in the dataset in kcal/mol of atoms: 0.43
Size of the total moment in μB per formula unit: 0.0
Density of states at the Fermi level in states/eV per cell: 1.701



Record 11
Material: Tl2ReAu
Method: DFT, PBEsol
State: relaxed

Structure (CIF):
```
data_Tl2ReAu
_chemical_formula_sum 'Tl4 Re2 Au2'
_symmetry_space_group_name_H-M 'C 1 2/m 1'
_symmetry_Int_Tables_number 12
_cell_length_a 6.180
_cell_length_b 9.641
_cell_length_c 2.955
_cell_angle_alpha 90.00
_cell_angle_beta 118.30
_cell_angle_gamma 90.00
loop_
_symmetry_equiv_pos_as_xyz
'x,y,z'
'-x,-y,-z'
'-x,y,-z'
'x,-y,z'
'x+1/2,y+1/2,z'
'-x+1/2,-y+1/2,-z'
'-x+1/2,y+1/2,-z'
'x+1/2,-y+1/2,z'
loop_
_atom_site_label
_atom_site_fract_x
_atom_site_fract_y
_atom_site_fract_z
Tl1 0.250 0.250 0.000
Re1 0.000 0.000 0.000
Au1 0.000 0.500 0.000
```

Values from the calculation:
Excess energy over the best structure of this formula in the dataset in kcal/mol of atoms: 0.00
Size of the total moment in μB per formula unit: 0.0
Density of states at the Fermi level in states/eV per cell: 4.676



Record 12
Material: Tl2ReAu
Method: DFT, PBEsol
State: relaxed

Structure (CIF):
```
data_Tl2ReAu
_chemical_formula_sum 'Tl4 Re2 Au2'
_symmetry_space_group_name_H-M 'I -4 m 2'
_symmetry_Int_Tables_number 119
_symmetry_space_group_name_Hall 'I -4 -2'
_cell_length_a 4.020
_cell_length_b 4.020
_cell_length_c 9.522
_cell_angle_alpha 90.00
_cell_angle_beta 90.00
_cell_angle_gamma 90.00
loop_
_atom_site_label
_atom_site_fract_x
_atom_site_fract_y
_atom_site_fract_z
Tl1 0.000 0.000 0.000
Tl2 0.000 0.500 0.250
Re1 0.000 0.500 0.750
Au1 0.000 0.000 0.500
```

Values from the calculation:
Excess energy over the best structure of this formula in the dataset in kcal/mol of atoms: 1.19
Size of the total moment in μB per formula unit: 1.2
Density of states at the Fermi level in states/eV per cell: 5.392



Record 13
Material: Re2WAu
Method: DFT, PBEsol
State: relaxed

Structure (CIF):
```
data_Re2WAu
_chemical_formula_sum 'Re2 W1 Au1'
_symmetry_space_group_name_H-M 'P m m m'
_symmetry_Int_Tables_number 47
_cell_length_a 2.812
_cell_length_b 3.933
_cell_length_c 5.601
_cell_angle_alpha 90.00
_cell_angle_beta 90.00
_cell_angle_gamma 90.00
loop_
_symmetry_equiv_pos_as_xyz
'x,y,z'
'-x,-y,-z'
'-x,-y,z'
'x,y,-z'
'x,-y,-z'
'-x,y,z'
'-x,y,-z'
'x,-y,z'
loop_
_atom_site_label
_atom_site_fract_x
_atom_site_fract_y
_atom_site_fract_z
Re1 0.000 0.000 0.227
W1 0.500 0.500 0.000
Au1 0.500 0.500 0.500
```

Values from the calculation:
Excess energy over the best structure of this formula in the dataset in kcal/mol of atoms: 2.07
Size of the total moment in μB per formula unit: 0.0
Density of states at the Fermi level in states/eV per cell: 2.732



Record 14
Material: Re2WAu
Method: DFT, PBEsol
State: relaxed

Structure (CIF):
```
data_Re2WAu
_chemical_formula_sum 'Re6 W3 Au3'
_symmetry_space_group_name_H-M 'R 3 m'
_symmetry_Int_Tables_number 160
_symmetry_space_group_name_Hall 'R 3 -2"'
_cell_length_a 2.7721
_cell_length_b 2.7721
_cell_length_c 27.7767
_cell_angle_alpha 90.00
_cell_angle_beta 90.00
_cell_angle_gamma 120.00
loop_
_atom_site_label
_atom_site_fract_x
_atom_site_fract_y
_atom_site_fract_z
Re1 0.0000 0.0000 0.0000
Re2 0.0000 0.0000 0.2572
W1 0.0000 0.0000 0.7501
Au1 0.0000 0.0000 0.5032
```

Values from the calculation:
Excess energy over the best structure of this formula in the dataset in kcal/mol of atoms: 0.00
Size of the total moment in μB per formula unit: 0.0
Density of states at the Fermi level in states/eV per cell: 7.207



Record 15
Material: ReWAu
Method: DFT, PBEsol
State: relaxed

Structure (CIF):
```
data_ReWAu
_chemical_formula_sum 'Re4 W4 Au4'
_symmetry_space_group_name_H-M 'F -4 3 m'
_symmetry_Int_Tables_number 216
_symmetry_space_group_name_Hall 'F -4 2 3'
_cell_length_a 6.047
_cell_length_b 6.047
_cell_length_c 6.047
_cell_angle_alpha 90.00
_cell_angle_beta 90.00
_cell_angle_gamma 90.00
loop_
_atom_site_label
_atom_site_fract_x
_atom_site_fract_y
_atom_site_fract_z
Re1 0.000 0.000 0.000
W1 0.250 0.250 0.750
Au1 0.000 0.000 0.500
```

Values from the calculation:
Excess energy over the best structure of this formula in the dataset in kcal/mol of atoms: 0.00
Size of the total moment in μB per formula unit: 0.0
Density of states at the Fermi level in states/eV per cell: 3.891



Record 16
Material: Re2WAu
Method: DFT, PBEsol
State: relaxed

Structure (CIF):
```
data_Re2WAu
_chemical_formula_sum 'Re8 W4 Au4'
_symmetry_space_group_name_H-M 'F -4 3 m'
_symmetry_Int_Tables_number 216
_symmetry_space_group_name_Hall 'F -4 2 3'
_cell_length_a 6.276
_cell_length_b 6.276
_cell_length_c 6.276
_cell_angle_alpha 90.00
_cell_angle_beta 90.00
_cell_angle_gamma 90.00
loop_
_atom_site_label
_atom_site_fract_x
_atom_site_fract_y
_atom_site_fract_z
Re1 0.000 0.000 0.000
Re2 0.250 0.250 0.250
W1 0.250 0.250 0.750
Au1 0.000 0.000 0.500
```

Values from the calculation:
Excess energy over the best structure of this formula in the dataset in kcal/mol of atoms: 8.33
Size of the total moment in μB per formula unit: 0.0
Density of states at the Fermi level in states/eV per cell: 13.824